No. 1
Computed, not measured: a crystal of BaYRh2 relaxed with PBEsol at the meta-GGA SCAN level of DFT.

Energy of formation ... -0.130 eV per atom
Total energy ... -270.91 eV/cell
Space group ... Cm, No. 8

```
BaYRh2
1.0
10.862 0.000 0.000
0.000 3.227 0.000
-1.121 0.000 5.112
Ba Y Rh
2 2 4
Direct
0.000 0.000 0.000
0.500 0.500 0.000
0.205 0.000 0.606
0.705 0.500 0.606
0.271 0.500 0.220
0.462 0.000 0.485
0.771 0.000 0.220
0.962 0.500 0.485
```

No. 2
Computed, not measured: a crystal of DyBi2IO4 relaxed with PBEsol at the meta-GGA SCAN level of DFT.

Total energy ... -282.56 eV/cell
Space group ... P4/mmm, No. 123
Energy relative to the elements, uncorrected ... -1992 meV per atom

```
DyBi2IO4
1.0
3.893 0.000 0.000
0.000 3.893 0.000
0.000 0.000 9.482
Dy Bi I O
1 2 1 4
Direct
0.000 0.000 0.000
0.500 0.500 0.260
0.500 0.500 0.740
0.000 0.000 0.500
0.000 0.500 0.143
0.000 0.500 0.857
0.500 0.000 0.143
0.500 0.000 0.857
```

No. 3
Computed, not measured: a crystal of ZnFeNi2 relaxed with PBEsol at the meta-GGA SCAN level of DFT.

Energy of formation ... -0.166 eV per atom
Total energy ... -64.65 eV/cell
Space group ... Pmmm, No. 47

```
ZnFeNi2
1.0
2.543 0.000 0.000
0.000 3.396 0.000
0.000 0.000 5.164
Zn Fe Ni
1 1 2
Direct
0.000 0.000 0.000
0.000 0.000 0.500
0.500 0.500 0.257
0.500 0.500 0.743
```

No. 4
Computed, not measured: a crystal of Ga2HPtCl relaxed with PBEsol at the meta-GGA SCAN level of DFT.

Total energy ... -112.07 eV/cell
Space group ... P4/mmm, No. 123

```
Ga2HPtCl
1.0
3.865 0.000 0.000
0.000 3.865 0.000
0.000 0.000 4.775
Ga H Pt Cl
2 1 1 1
Direct
0.000 0.500 0.000
0.500 0.000 0.000
0.000 0.000 0.000
0.500 0.500 0.500
0.000 0.000 0.500
```

no.,total moment (μB per formula unit)
1,0.0
2,0.0
3,3.9
4,0.0